Density functional theory data (PBE) for a relaxed structure of CuPt2Rh.

Values from the calculation:
E, eV/atom: -5.939
Formation enthalpy at 0 K, eV per atom: -0.057

Lattice parameters (Å, degrees): 9.074 2.746 4.737 90.00 99.97 90.00
Space group Cm (No. 8)
Symmetry-distinct sites (fractional):
1 Cu 0.000 0.000 0.000 x2
2 Pt 0.251 0.000 0.766 x2
3 Pt 0.498 0.000 0.494 x2
4 Rh 0.248 0.500 0.260 x2

Density functional theory data (PBE) for a relaxed structure of SrErInCu.

Values from the calculation:
E, eV/atom: -3.428
Formation enthalpy at 0 K, eV per atom: -0.158

Lattice parameters (Å, degrees): 7.532 7.532 7.532 90.00 90.00 90.00
Space group F-43m (No. 216)
Symmetry-distinct sites (fractional):
1 Sr 0.000 0.000 0.000 x4
2 Er 0.000 0.000 0.500 x4
3 In 0.250 0.250 0.250 x4
4 Cu 0.250 0.250 0.750 x4

Density functional theory data (PBE) for a relaxed structure of EuAsRh.

Values from the calculation:
E, eV/atom: -8.321
Formation enthalpy at 0 K, eV per atom: -0.895

Lattice parameters (Å, degrees): 4.2363 4.2363 4.2375 90.00 90.00 120.00
Space group P-6m2 (No. 187)
Symmetry-distinct sites (fractional):
1 Eu 0.0000 0.0000 0.0000 x1
2 As 0.3333 0.6667 0.5000 x1
3 Rh 0.6667 0.3333 0.5000 x1

Density functional theory data (PBE) for a relaxed structure of SrErTm.

Values from the calculation:
E, eV/atom: -3.414
Formation enthalpy at 0 K, eV per atom: 0.158

Lattice parameters (Å, degrees): 3.697 3.697 15.888 90.00 90.00 90.00
Space group I4mm (No. 107)
Symmetry-distinct sites (fractional):
1 Sr 0.000 0.000 0.000 x2
2 Er 0.000 0.000 0.318 x2
3 Tm 0.000 0.000 0.681 x2

Density functional theory data (PBE) for a relaxed structure of CuPt2W.

Values from the calculation:
Distance to the lowest polymorph of the same formula, kcal/mol of atoms: 4.55
E, eV/atom: -7.353
Formation enthalpy at 0 K, eV per atom: -0.070

Lattice parameters (Å, degrees): 2.757 2.757 7.804 90.00 90.00 90.00
Space group P4mm (No. 99)
Symmetry-distinct sites (fractional):
1 Cu 0.000 0.000 0.000 x1
2 Pt 0.000 0.000 0.506 x1
3 Pt 0.500 0.500 0.232 x1
4 W 0.500 0.500 0.757 x1

Density functional theory data (PBE) for a relaxed structure of Er5Zn4Ni.

Values from the calculation:
E, eV/atom: -3.738
Formation enthalpy at 0 K, eV per atom: -0.369

Lattice parameters (Å, degrees): 3.494 3.494 17.505 90.00 90.00 90.00
Space group P4/mmm (No. 123)
Symmetry-distinct sites (fractional):
1 Er 0.000 0.000 0.000 x1
2 Er 0.000 0.000 0.204 x2
3 Er 0.000 0.000 0.409 x2
4 Zn 0.500 0.500 0.103 x2
5 Zn 0.500 0.500 0.305 x2
6 Ni 0.500 0.500 0.500 x1

Density functional theory data (PBE) for a relaxed structure of KNdEr2.

Values from the calculation:
E, eV/atom: -3.479
Formation enthalpy at 0 K, eV per atom: 0.269

Lattice parameters (Å, degrees): 3.5972 3.5972 39.7659 90.00 90.00 120.00
Space group R-3m (No. 166, hexagonal axes)
Symmetry-distinct sites (fractional):
1 K 0.0000 0.0000 0.0000 x3
2 Nd 0.0000 0.0000 0.5000 x3
3 Er 0.0000 0.0000 0.0949 x6

Density functional theory data (PBE) for a relaxed structure of AcPd3.

Values from the calculation:
E, eV/atom: -5.642
Formation enthalpy at 0 K, eV per atom: -0.721

Lattice parameters (Å, degrees): 4.318 4.318 4.318 90.00 90.00 90.00
Space group Pm-3m (No. 221)
Symmetry-distinct sites (fractional):
1 Ac 0.000 0.000 0.000 x1
2 Pd 0.000 0.500 0.500 x3

Density functional theory data (PBE) for a relaxed structure of PmNpIn2O8.

Values from the calculation:
E_form (uncorrected), meV per atom: -2258.6
E, eV/atom: -7.495

Lattice parameters (Å, degrees): 7.126 7.168 6.903 90.00 90.00 90.00
Space group Cmmm (No. 65)
Symmetry-distinct sites (fractional):
1 Pm 0.000 0.000 0.000 x2
2 Np 0.000 0.000 0.500 x2
3 In 0.000 0.500 0.248 x4
4 O 0.000 0.186 0.284 x8
5 O 0.184 0.500 0.000 x4
6 O 0.203 0.500 0.500 x4

Density functional theory data (PBE) for a relaxed structure of Y2HoPd2.

Values from the calculation:
E, eV/atom: -6.309
Formation enthalpy at 0 K, eV per atom: -0.730

Lattice parameters (Å, degrees): 7.748 7.748 4.028 90.00 90.00 90.00
Space group P4/mbm (No. 127)
Symmetry-distinct sites (fractional):
1 Y 0.165 0.335 0.000 x4
2 Ho 0.000 0.000 0.500 x2
3 Pd 0.134 0.634 0.500 x4

Density functional theory data (PBE) for a relaxed structure of RbHg2I4.

Values from the calculation:
Distance to the lowest polymorph of the same formula, kcal/mol of atoms: 0.00
E_form (uncorrected), meV per atom: -522.7
E, eV/atom: -1.633

Lattice parameters (Å, degrees): 9.769 9.937 13.373 90.00 90.00 90.00
Space group Imma (No. 74)
Symmetry-distinct sites (fractional):
1 Rb 0.000 0.000 0.000 x4
2 Hg 0.000 0.250 0.371 x4
3 Hg 0.250 0.250 0.750 x4
4 I 0.000 0.005 0.727 x8
5 I 0.228 0.250 0.518 x8

Density functional theory data (PBE) for a relaxed structure of Mg2ZrHg.

Values from the calculation:
E, eV/atom: -2.993
Formation enthalpy at 0 K, eV per atom: 0.017

Lattice parameters (Å, degrees): 3.537 4.891 10.097 90.00 90.00 90.00
Space group Imm2 (No. 44)
Symmetry-distinct sites (fractional):
1 Mg 0.000 0.000 0.000 x2
2 Mg 0.000 0.500 0.239 x2
3 Zr 0.000 0.000 0.476 x2
4 Hg 0.000 0.500 0.729 x2

Density functional theory data (PBE) for a relaxed structure of LaTa2Br.

Values from the calculation:
Distance to the lowest polymorph of the same formula, kcal/mol of atoms: 9.19
E_form (uncorrected), meV per atom: 324.8
E, eV/atom: -7.252

Lattice parameters (Å, degrees): 3.131 4.975 11.711 90.00 90.00 90.00
Space group Immm (No. 71)
Symmetry-distinct sites (fractional):
1 La 0.000 0.000 0.000 x2
2 Ta 0.000 0.500 0.233 x4
3 Br 0.000 0.000 0.500 x2

Density functional theory data (PBE) for a relaxed structure of YCd2Ga.

Values from the calculation:
E, eV/atom: -3.186
Formation enthalpy at 0 K, eV per atom: -0.355

Lattice parameters (Å, degrees): 4.339 4.339 4.813 90.00 90.00 90.00
Space group P4/mmm (No. 123)
Symmetry-distinct sites (fractional):
1 Y 0.000 0.000 0.000 x1
2 Cd 0.000 0.500 0.500 x2
3 Ga 0.500 0.500 0.000 x1

Density functional theory data (PBE) for a relaxed structure of Hg2Br2O.

Values from the calculation:
Distance to the lowest polymorph of the same formula, kcal/mol of atoms: 4.12
E_form (uncorrected), meV per atom: -189.6
E, eV/atom: -1.971

Lattice parameters (Å, degrees): 3.624 12.725 11.942 90.00 90.00 90.00
Space group Cmc2_1 (No. 36)
Symmetry-distinct sites (fractional):
1 Hg 0.000 0.023 0.000 x4
2 Hg 0.000 0.247 0.085 x4
3 Br 0.000 0.123 0.697 x4
4 Br 0.000 0.390 0.892 x4
5 O 0.000 0.366 0.543 x4

Density functional theory data (PBE) for a relaxed structure of HoZnTe2.

Values from the calculation:
Distance to the lowest polymorph of the same formula, kcal/mol of atoms: 0.00
E_form (uncorrected), meV per atom: -792.4
E, eV/atom: -3.826

Lattice parameters (Å, degrees): 4.3301 4.3301 6.8004 90.00 90.00 120.00
Space group P-3m1 (No. 164)
Symmetry-distinct sites (fractional):
1 Ho 0.0000 0.0000 0.0000 x1
2 Zn 0.0000 0.0000 0.5000 x1
3 Te 0.3333 0.6667 0.2670 x2

Density functional theory data (PBE) for a relaxed structure of TlSi2Au.

Values from the calculation:
Distance to the lowest polymorph of the same formula, kcal/mol of atoms: 8.77
E_form (uncorrected), meV per atom: 550.4
E, eV/atom: -3.572

Lattice parameters (Å, degrees): 4.529 4.529 7.727 90.00 90.00 90.00
Space group I4/mmm (No. 139)
Symmetry-distinct sites (fractional):
1 Tl 0.000 0.000 0.000 x2
2 Si 0.000 0.500 0.250 x4
3 Au 0.000 0.000 0.500 x2

Density functional theory data (PBE) for a relaxed structure of U2TiNbC4.

Values from the calculation:
E, eV/atom: -10.109
Formation enthalpy at 0 K, eV per atom: -0.429

Lattice parameters (Å, degrees): 5.625 3.262 5.870 90.00 108.69 90.00
Space group P2/m (No. 10)
Symmetry-distinct sites (fractional):
1 U 0.000 0.000 0.000 x1
2 U 0.500 0.500 0.000 x1
3 Ti 0.000 0.500 0.500 x1
4 Nb 0.500 0.000 0.500 x1
5 C 0.240 0.000 0.727 x2
6 C 0.254 0.500 0.272 x2

Density functional theory data (PBE) for a relaxed structure of Os2AuS.

Values from the calculation:
E_form (uncorrected), meV per atom: 732.3
E, eV/atom: -6.734

Lattice parameters (Å, degrees): 6.890 6.890 5.311 90.00 90.00 90.00
Space group I-42d (No. 122)
Symmetry-distinct sites (fractional):
1 Os 0.184 0.750 0.125 x8
2 Au 0.000 0.000 0.500 x4
3 S 0.000 0.000 0.000 x4

Density functional theory data (PBE) for a relaxed structure of ScAl2Tc.

Values from the calculation:
Distance to the lowest polymorph of the same formula, kcal/mol of atoms: 6.80
E, eV/atom: -6.165
Formation enthalpy at 0 K, eV per atom: -0.119

Lattice parameters (Å, degrees): 3.550 4.626 8.334 90.00 90.00 90.00
Space group Cmm2 (No. 35)
Symmetry-distinct sites (fractional):
1 Sc 0.000 0.000 0.000 x2
2 Al 0.000 0.000 0.462 x2
3 Al 0.000 0.500 0.713 x2
4 Tc 0.000 0.500 0.244 x2

Density functional theory data (PBE) for a relaxed structure of Cs2Rb3Pb4.

Values from the calculation:
E, eV/atom: -2.233
Formation enthalpy at 0 K, eV per atom: -0.073

Lattice parameters (Å, degrees): 6.749 7.557 10.022 102.53 93.66 115.57
Space group P-1 (No. 2)
Symmetry-distinct sites (fractional):
1 Cs 0.211 0.482 0.345 x2
2 Rb 0.000 0.000 0.000 x1
3 Rb 0.484 0.000 0.242 x2
4 Pb 0.101 0.160 0.638 x2
5 Pb 0.319 0.524 0.914 x2

Density functional theory data (PBE) for a relaxed structure of Ac8Hg2Pt.

Values from the calculation:
E, eV/atom: -3.922
Formation enthalpy at 0 K, eV per atom: -0.330

Lattice parameters (Å, degrees): 20.235 5.185 8.069 90.00 93.97 90.00
Space group C2/m (No. 12)
Symmetry-distinct sites (fractional):
1 Ac 0.009 0.000 0.273 x4
2 Ac 0.096 0.500 0.985 x4
3 Ac 0.145 0.500 0.497 x4
4 Ac 0.217 0.000 0.823 x4
5 Hg 0.180 0.000 0.238 x4
6 Pt 0.000 0.500 0.500 x2

Density functional theory data (PBE) for a relaxed structure of Rb2Sn5Bi.

Values from the calculation:
E, eV/atom: -3.318
Formation enthalpy at 0 K, eV per atom: -0.089

Lattice parameters (Å, degrees): 6.712 7.167 8.100 116.17 114.40 90.01
Space group P1 (No. 1)
Symmetry-distinct sites (fractional):
1 Rb 0.000 0.000 0.000 x1
2 Rb 0.498 0.496 0.993 x1
3 Sn 0.365 0.864 0.729 x1
4 Sn 0.530 0.041 0.502 x1
5 Sn 0.531 0.462 0.504 x1
6 Sn 0.974 0.041 0.503 x1
7 Sn 0.975 0.463 0.505 x1
8 Bi 0.130 0.628 0.258 x1

Density functional theory data (PBE) for a relaxed structure of LiReP2.

Values from the calculation:
Distance to the lowest polymorph of the same formula, kcal/mol of atoms: 11.27
E, eV/atom: -6.127
Formation enthalpy at 0 K, eV per atom: 0.168

Lattice parameters (Å, degrees): 3.573 3.573 8.153 90.00 90.00 90.00
Space group I-4m2 (No. 119)
Symmetry-distinct sites (fractional):
1 Li 0.000 0.000 0.000 x2
2 Re 0.000 0.500 0.250 x2
3 P 0.000 0.000 0.500 x2
4 P 0.000 0.500 0.750 x2

Density functional theory data (PBE) for a relaxed structure of Nd2AlGaPt6.

Values from the calculation:
E, eV/atom: -6.105
Formation enthalpy at 0 K, eV per atom: -0.850

Lattice parameters (Å, degrees): 5.6791 5.6791 23.1274 90.00 90.00 120.00
Space group R-3m (No. 166, hexagonal axes)
Symmetry-distinct sites (fractional):
1 Nd 0.0000 0.0000 0.2054 x6
2 Al 0.0000 0.0000 0.5000 x3
3 Ga 0.0000 0.0000 0.0000 x3
4 Pt 0.0014 0.5007 0.2490 x18

Density functional theory data (PBE) for a relaxed structure of TbHoLu.

Values from the calculation:
Distance to the lowest polymorph of the same formula, kcal/mol of atoms: 0.00
E, eV/atom: -4.551
Formation enthalpy at 0 K, eV per atom: 0.026

Lattice parameters (Å, degrees): 3.502 3.502 14.927 90.00 90.00 90.00
Space group I4mm (No. 107)
Symmetry-distinct sites (fractional):
1 Tb 0.000 0.000 0.000 x2
2 Ho 0.000 0.000 0.331 x2
3 Lu 0.000 0.000 0.666 x2